{"formula": "Ca3Pr2Hg4", "functional": "PBE-GGA", "state": "optimized geometry", "cell": [[-1.981, 3.912, -3.087], [-1.169, -0.979, -5.148], [-9.847, -2.817, 2.751]], "species": ["Hg", "Hg", "Hg", "Hg", "Pr", "Pr", "Ca", "Ca", "Ca"], "fractional_positions": [[0.999, 0.002, 0.664], [0.001, 0.998, 0.336], [0.666, 0.668, 0.896], [0.334, 0.332, 0.104], [0.333, 0.334, 0.797], [0.667, 0.666, 0.203], [0.334, 0.332, 0.412], [0.666, 0.668, 0.588], [0.000, 0.000, 0.000]], "sg": "C2/m (12)", "de_polymorph_ev_per_atom": 0.000, "formation_enthalpy_0k_mev_per_atom": -444, "magmom_total_mub_per_atom": 0.00, "total_energy_ev_per_atom": -2.307, "dos_ef_per_ev_fu": 6.274}